Entry 1:
Density functional theory data (GGA-PBE) for a geometry-optimized MnCuNi2 structure.

a b c (Å): 4.210 4.210 2.718
angles (deg): 90.00 90.00 102.68
Element x y z (fractional)
Mn  0.000  0.000  0.000
Cu  0.500  0.500  0.000
Ni  0.000  0.500  0.500
Ni  0.500  0.000  0.500

Calculated values
The calculation puts the calculated formation energy at 2.0 meV/atom. The space group is Cmmm, No. 65. The mass density is 8.333 g/cm³.

=====

Entry 2:
Density functional theory data (GGA-PBE) for a geometry-optimized Ce4GaH3Rh12 structure.

a b c (Å): 7.298 7.298 7.298
angles (deg): 109.47 109.47 109.47
Element x y z (fractional)
Ce  0.000  0.000  0.500
Ce  0.000  0.500  0.000
Ce  0.500  0.000  0.000
Ce  0.500  0.500  0.500
Ga  0.000  0.000  0.000
H  0.000  0.500  0.500
H  0.500  0.000  0.500
H  0.500  0.500  0.000
Rh  0.000  0.282  0.282
Rh  0.000  0.718  0.718
Rh  0.250  0.500  0.750
Rh  0.250  0.750  0.500
Rh  0.282  0.000  0.282
Rh  0.282  0.282  0.000
Rh  0.500  0.250  0.750
Rh  0.500  0.750  0.250
Rh  0.718  0.000  0.718
Rh  0.718  0.718  0.000
Rh  0.750  0.250  0.500
Rh  0.750  0.500  0.250

Calculated values
The calculation puts the energy at -6.82 eV/atom. The space group is Im-3m, No. 229. The mass density is 10.368 g/cm³.

=====

> Among the records above, which one has the highest mass density?

Ce4GaH3Rh12